Entry 1:
The following is a GGA-PBE calculation of a relaxed Ce4GaRu crystal, from the Alexandria database.

abc: 8.4000 12.4771 5.9419
angles: 90.00 113.85 90.00
With the nearest neighbours (Å) after each atom.
Space group C2/c (No. 15)
One atom of each set of equivalent atoms:
Ce1 0.1305 0.1956 0.0864  2 Ce 2.91-2.93, 2 Ru 2.98-3.08, 2 Ga 3.05
Ce2 0.2136 0.4051 0.3220  2 Ru 2.87-2.94, 1 Ce 2.91, 2 Ga 3.05-3.14
Ga1 0.0000 0.3903 0.7500  8 Ce 3.05-3.14
Ru1 0.0000 0.0013 0.2500  8 Ce 2.87-3.08, 2 Ru 2.97

Output
Polymorph energy (0 for the lowest one) ... 0 meV per atom
E_form ... -1.918 eV/f.u.


Entry 2:
The following is a GGA-PBE calculation of a relaxed Ce8GaRu5 crystal, from the Alexandria database.

abc: 8.7774 8.7774 8.4229
angles: 90.00 90.00 90.00
With the nearest neighbours (Å) after each atom.
Space group I-4 (No. 82)
One atom of each set of equivalent atoms:
Ce1 0.0521 0.3017 0.0643  3 Ru 2.69-2.86
Ce2 0.0639 0.1787 0.6706  1 Ru 2.55
Ga1 0.0000 0.5000 0.7500  8 Ce 2.95-3.20
Ru1 0.0000 0.0000 0.0000  4 Ce 2.74
Ru2 0.1363 0.2553 0.3888  2 Ce 2.55-2.69

Output
E_form ... -4.650 eV/f.u.


Entry 3:
The following is a GGA-PBE calculation of a relaxed Ce2GaRu crystal, from the Alexandria database.

abc: 6.6334 4.7978 10.6540
angles: 90.00 90.00 90.00
With the nearest neighbours (Å) after each atom.
Space group Pnma (No. 62)
One atom of each set of equivalent atoms:
Ce1 0.0243 0.2500 0.1644  1 Ru 2.50
Ce2 0.2399 0.2500 0.8759  3 Ru 2.84-3.12, 2 Ce 3.00, 1 Ga 3.18
Ga1 0.2268 0.2500 0.5780  3 Ru 2.62-2.72
Ru1 0.0395 0.7500 0.6043  1 Ce 2.50, 3 Ga 2.62-2.72

Output
E_form ... -1.829 eV/f.u.


Entry 4:
The following is a GGA-PBE calculation of a relaxed Ce2GaRu crystal, from the Alexandria database.

abc: 4.4963 4.4963 4.1285
angles: 90.00 90.00 90.00
With the nearest neighbours (Å) after each atom.
Space group P4/mmm (No. 123)
One atom of each set of equivalent atoms:
Ce1 0.0000 0.5000 0.0000  4 Ru 3.05, 4 Ga 3.05, 4 Ce 3.18
Ga1 0.0000 0.0000 0.5000  8 Ce 3.05, 4 Ru 3.18
Ru1 0.5000 0.5000 0.5000  8 Ce 3.05, 4 Ga 3.18

Output
E_form ... -1.550 eV/f.u.


Entry 5:
The following is a GGA-PBE calculation of a relaxed Ce2Ga5Ru crystal, from the Alexandria database.

abc: 6.1620 6.1620 8.8845
angles: 90.00 90.00 90.00
With the nearest neighbours (Å) after each atom.
Space group I4mm (No. 107)
One atom of each set of equivalent atoms:
Ce1 0.0000 0.5000 0.0000  10 Ga 3.09-3.16
Ga1 0.0000 0.0000 0.0218  1 Ru 2.44
Ga2 0.2150 0.2150 0.2454  1 Ru 2.48, 3 Ga 2.65-2.73
Ru1 0.0000 0.0000 0.7475  5 Ga 2.44-2.48

Output
E_form ... -3.276 eV/f.u.


Entry 6:
The following is a GGA-PBE calculation of a relaxed Ce5GaRu6 crystal, from the Alexandria database.

abc: 8.0757 11.0715 6.2449
angles: 90.00 114.37 90.00
With the nearest neighbours (Å) after each atom.
Space group C2/m (No. 12)
One atom of each set of equivalent atoms:
Ce1 0.0000 0.0000 0.0000  4 Ru 2.64
Ce2 0.0000 0.1727 0.5000  2 Ru 2.46
Ce3 0.0000 0.3441 0.0000  2 Ru 2.52
Ga1 0.0000 0.5000 0.5000  6 Ru 2.63-2.65
Ru1 0.2121 0.5000 0.2695  2 Ce 2.52, 1 Ga 2.65
Ru2 0.2206 0.1472 0.3258  2 Ce 2.46-2.64, 1 Ga 2.63

Output
E_form ... -2.640 eV/f.u.


Entry 7:
The following is a GGA-PBE calculation of a relaxed Ce8GaRu6 crystal, from the Alexandria database.

abc: 10.2826 10.2826 12.2106
angles: 90.00 90.00 120.00
With the nearest neighbours (Å) after each atom.
Space group R-3 (No. 148, hexagonal axes)
One atom of each set of equivalent atoms:
Ce1 0.0000 0.0000 0.2311  3 Ru 2.75, 1 Ga 2.82
Ce2 0.0022 0.3468 0.7198  1 Ru 2.39
Ga1 0.0000 0.0000 0.0000  2 Ce 2.82
Ru1 0.0103 0.1732 0.5936  1 Ce 2.39

Output
E_form ... -3.465 eV/f.u.


Entry 8:
The following is a GGA-PBE calculation of a relaxed Ce3GaRu crystal, from the Alexandria database.

abc: 6.4503 9.0302 15.9753
angles: 90.00 90.00 90.00
With the nearest neighbours (Å) after each atom.
Space group Fmmm (No. 69)
One atom of each set of equivalent atoms:
Ce1 0.0000 0.0000 0.1976  4 Ru 2.90, 2 Ce 3.15
Ce2 0.0000 0.2060 0.4081  2 Ce 2.94-3.15, 2 Ru 3.02, 4 Ga 3.09-3.28
Ga1 0.1932 0.0000 0.0000  1 Ga 2.49
Ru1 0.2500 0.2500 0.2500  8 Ce 2.90-3.02, 2 Ru 3.23

Output
Polymorph energy (0 for the lowest one) ... 0 meV per atom
E_form ... -1.924 eV/f.u.


Entry 9:
The following is a GGA-PBE calculation of a relaxed CeGaRu2 crystal, from the Alexandria database.

abc: 4.3572 4.3572 3.5528
angles: 90.00 90.00 90.00
With the nearest neighbours (Å) after each atom.
Space group P4/mmm (No. 123)
One atom of each set of equivalent atoms:
Ce1 0.0000 0.0000 0.0000  8 Ru 2.81, 4 Ga 3.08
Ga1 0.5000 0.5000 0.0000  8 Ru 2.81, 4 Ce 3.08
Ru1 0.0000 0.5000 0.5000  4 Ce 2.81, 4 Ga 2.81, 4 Ru 3.08

Output
E_form ... -1.729 eV/f.u.


Entry 10:
The following is a GGA-PBE calculation of a relaxed CeGa3Ru3 crystal, from the Alexandria database.

abc: 6.7150 6.7150 6.7150
angles: 90.00 90.00 90.00
With the nearest neighbours (Å) after each atom.
Space group Pm-3n (No. 223)
One atom of each set of equivalent atoms:
Ce1 0.0000 0.0000 0.0000  12 Ru 3.75, 12 Ga 3.75
Ga1 0.0000 0.2500 0.5000  4 Ru 2.37
Ru1 0.0000 0.5000 0.2500  4 Ga 2.37

Output
E_form ... 1.914 eV/f.u.


Entry 11:
The following is a GGA-PBE calculation of a relaxed Ce5Ga2Ru5 crystal, from the Alexandria database.

abc: 13.0120 3.7208 10.7169
angles: 90.00 98.20 90.00
With the nearest neighbours (Å) after each atom.
Space group C2/m (No. 12)
One atom of each set of equivalent atoms:
Ce1 0.0000 0.0000 0.0000  4 Ru 2.78
Ce2 0.1402 0.0000 0.5755  4 Ru 2.65-2.87
Ce3 0.2402 0.5000 0.1325  5 Ru 2.71-2.98
Ga1 0.0570 0.5000 0.2858  4 Ru 2.51-2.67
Ru1 0.0000 0.5000 0.5000  2 Ga 2.51, 4 Ce 2.65
Ru2 0.1103 0.5000 0.8799  1 Ga 2.61, 4 Ce 2.71-2.78
Ru3 0.2062 0.0000 0.3115  2 Ga 2.67, 4 Ce 2.75-2.87

Output
E_form ... -3.215 eV/f.u.


Entry 12:
The following is a GGA-PBE calculation of a relaxed CeGaRu crystal, from the Alexandria database.

abc: 6.4044 6.4044 6.4044
angles: 90.00 90.00 90.00
With the nearest neighbours (Å) after each atom.
Space group F-43m (No. 216)
One atom of each set of equivalent atoms:
Ce1 0.0000 0.0000 0.0000  4 Ru 2.77
Ga1 0.0000 0.0000 0.5000  4 Ru 2.77
Ru1 0.2500 0.2500 0.7500  4 Ce 2.77, 4 Ga 2.77

Output
E_form ... -1.022 eV/f.u.